Entry 1:
Entry from Alexandria: a geometry-optimized ErTh3Co structure (PBE).

Structure (extended XYZ):
```
5
Lattice="5.335 0.000 0.000 0.000 5.335 0.000 0.000 0.000 5.335" Properties=species:S:1:pos:R:3 pbc="T T T"
Er 0.000 0.000 0.000
Th 0.000 2.667 2.667
Th 2.667 0.000 2.667
Th 2.667 2.667 0.000
Co 2.667 2.667 2.667
```

Summary:
- symmetry = Pm-3m, No. 221
- ΔE_f (eV per atom) = 0.03

---

Entry 2:
Entry from Alexandria: a geometry-optimized Er2ThCo6 structure (PBE).

Structure (extended XYZ):
```
9
Lattice="6.719 0.000 0.000 -3.359 5.819 0.000 0.000 0.000 3.976" Properties=species:S:1:pos:R:3 pbc="T T T"
Er 0.000 3.879 0.000
Er 3.359 1.940 0.000
Th 0.000 0.000 0.000
Co -1.125 1.949 1.988
Co -2.234 3.869 1.988
Co 2.251 0.000 1.988
Co 1.125 1.949 1.988
Co 4.468 0.000 1.988
Co 2.234 3.869 1.988
```

Summary:
- symmetry = P6/mmm, No. 191
- ΔE_f (eV per atom) = -0.21

---

Entry 3:
Entry from Alexandria: a geometry-optimized ErTh3Co8 structure (PBE).

Structure (extended XYZ):
```
12
Lattice="2.542 1.467 8.317 -2.542 1.467 8.317 0.000 -2.935 8.317" Properties=species:S:1:pos:R:3 pbc="T T T"
Er 0.000 0.000 0.000
Th 0.000 0.000 9.256
Th 0.000 0.000 12.407
Th 0.000 0.000 21.866
Co 0.000 0.000 4.649
Co -1.270 -0.733 19.182
Co 0.000 -1.459 15.064
Co -1.263 0.729 15.064
Co 0.000 0.000 17.109
Co 1.270 -0.733 19.182
Co 1.263 0.729 15.064
Co 0.000 1.466 19.182
```

Summary:
- symmetry = R3m, No. 160
- ΔE_f (eV per atom) = -0.20

---

Entry 4:
Entry from Alexandria: a geometry-optimized ErTh2Co structure (PBE).

Structure (extended XYZ):
```
8
Lattice="1.837 -5.823 0.000 1.837 5.823 0.000 0.000 0.000 9.807" Properties=species:S:1:pos:R:3 pbc="T T T"
Er 1.837 4.784 7.355
Er 1.837 -4.784 2.452
Th 1.837 1.604 5.551
Th 1.837 1.604 9.159
Th 1.837 -1.604 0.648
Th 1.837 -1.604 4.256
Co 1.837 3.454 2.452
Co 1.837 -3.454 7.355
```

Summary:
- symmetry = Cmcm, No. 63
- ΔE_f (eV per atom) = -0.18
- relative energy among the computed polymorphs (eV per formula unit) = 0.00

---

Entry 5:
Entry from Alexandria: a geometry-optimized ErThCo10 structure (PBE).

Structure (extended XYZ):
```
12
Lattice="3.977 0.000 0.000 0.000 4.910 0.000 0.000 0.000 8.545" Properties=species:S:1:pos:R:3 pbc="T T T"
Er 0.000 0.000 0.000
Th 0.000 2.455 4.272
Co 0.000 0.000 2.841
Co 0.000 0.000 5.704
Co 0.000 2.455 1.457
Co 0.000 2.455 7.088
Co 1.988 0.000 4.272
Co 1.988 1.192 2.070
Co 1.988 1.192 6.475
Co 1.988 2.455 0.000
Co 1.988 3.718 2.070
Co 1.988 3.718 6.475
```

Summary:
- symmetry = Pmmm, No. 47
- ΔE_f (eV per atom) = -0.13

---

Entry 6:
Entry from Alexandria: a geometry-optimized ErTmThCo structure (PBE).

Structure (extended XYZ):
```
4
Lattice="3.195 -1.847 0.000 3.195 1.847 0.000 -0.002 0.000 9.155" Properties=species:S:1:pos:R:3 pbc="T T T"
Er 0.000 0.000 0.000
Tm 2.134 0.000 2.791
Th 2.136 0.000 6.203
Co 0.003 0.000 4.572
```

Summary:
- symmetry = Cm, No. 8
- ΔE_f (eV per atom) = 0.01

---

Entry 7:
Entry from Alexandria: a geometry-optimized ErThZnCo structure (PBE).

Structure (extended XYZ):
```
4
Lattice="0.000 3.504 3.504 3.504 0.000 3.504 3.504 3.504 0.000" Properties=species:S:1:pos:R:3 pbc="T T T"
Er 0.000 0.000 0.000
Th 3.504 3.504 3.504
Zn 5.255 5.255 5.255
Co 1.752 1.752 1.752
```

Summary:
- symmetry = F-43m, No. 216
- ΔE_f (eV per atom) = -0.17

---

Entry 8:
Entry from Alexandria: a geometry-optimized ErTiCo4 structure (PBE).

Structure (extended XYZ):
```
6
Lattice="0.000 3.449 3.449 3.449 0.000 3.449 3.449 3.449 0.000" Properties=species:S:1:pos:R:3 pbc="T T T"
Er 0.000 0.000 0.000
Ti 5.174 5.174 5.174
Co 2.590 2.590 2.590
Co 4.309 4.309 2.590
Co 4.309 2.590 4.309
Co 2.590 4.309 4.309
```

Summary:
- symmetry = F-43m, No. 216
- ΔE_f (eV per atom) = -0.22

---

Entry 9:
Entry from Alexandria: a geometry-optimized Er2TiCo2 structure (PBE).

Structure (extended XYZ):
```
10
Lattice="4.778 -2.810 0.000 4.778 2.810 0.000 -1.403 0.000 6.990" Properties=species:S:1:pos:R:3 pbc="T T T"
Er 1.216 0.685 1.023
Er 0.515 -0.685 4.518
Er 7.639 0.685 2.472
Er 6.938 -0.685 5.967
Ti 4.428 0.519 1.748
Ti 3.726 -0.519 5.243
Co 2.738 0.820 3.490
Co 6.117 0.820 0.005
Co 2.037 -0.820 6.985
Co 5.416 -0.820 3.500
```

Summary:
- symmetry = C2/c, No. 15
- ΔE_f (eV per atom) = -0.28
- relative energy among the computed polymorphs (eV per formula unit) = 0.00

---

Entry 10:
Entry from Alexandria: a geometry-optimized ErTi3Co2 structure (PBE).

Structure (extended XYZ):
```
12
Lattice="7.267 -2.162 0.000 7.267 2.162 0.000 -3.444 0.000 6.469" Properties=species:S:1:pos:R:3 pbc="T T T"
Er 1.937 0.000 0.397
Er 9.152 0.000 6.072
Ti -0.530 0.000 2.499
Ti 2.453 0.000 3.768
Ti 4.786 0.000 2.048
Ti 6.303 0.000 4.421
Ti 8.636 0.000 2.701
Ti 11.619 0.000 3.970
Co 0.267 0.000 4.704
Co 4.120 0.000 5.372
Co 6.969 0.000 1.097
Co 10.822 0.000 1.765
```

Summary:
- symmetry = C2/m, No. 12
- ΔE_f (eV per atom) = -0.22

---

Entry 11:
Entry from Alexandria: a geometry-optimized ErTi2Co3 structure (PBE).

Structure (extended XYZ):
```
6
Lattice="3.021 0.000 0.000 0.000 3.021 0.000 0.000 0.000 9.642" Properties=species:S:1:pos:R:3 pbc="T T T"
Er 0.000 0.000 0.000
Ti 0.000 0.000 3.310
Ti 0.000 0.000 6.332
Co 1.510 1.510 2.025
Co 1.510 1.510 4.821
Co 1.510 1.510 7.617
```

Summary:
- symmetry = P4/mmm, No. 123
- ΔE_f (eV per atom) = -0.32

---

Entry 12:
Entry from Alexandria: a geometry-optimized ErTi4Co5 structure (PBE).

Structure (extended XYZ):
```
10
Lattice="3.007 0.000 0.000 0.000 3.007 0.000 0.000 0.000 15.525" Properties=species:S:1:pos:R:3 pbc="T T T"
Er 0.000 0.000 0.000
Ti 0.000 0.000 3.316
Ti 0.000 0.000 6.292
Ti 0.000 0.000 9.233
Ti 0.000 0.000 12.209
Co 1.504 1.504 2.066
Co 1.504 1.504 4.894
Co 1.504 1.504 7.762
Co 1.504 1.504 10.631
Co 1.504 1.504 13.459
```

Summary:
- symmetry = P4/mmm, No. 123
- ΔE_f (eV per atom) = -0.35

---

> The lowest ΔE_f belongs to which entry?

ErTi4Co5